(1)
A relaxed K4Cd5Pt2 crystal. Source: Alexandria, functional PBE.

Results
Symmetry   P2/m, No. 10
Magnetization   0.000 μB/f.u.
Energy of formation from the pure elements   -0.0932 eV/atom

a = 7.5770 Å, b = 5.2328 Å, c = 8.8504 Å
α = 90.00°, β = 91.01°, γ = 90.00°
With the nearest neighbours (Å) after each atom.
Element x y z (fractional)
K: 0.2068 0.0000 0.3494  2 Pt 3.39, 8 Cd 3.55-3.77
K: 0.2230 0.0000 0.9065  4 Pt 3.42-3.53, 6 Cd 3.63-3.79, 1 K 3.79
K: 0.7770 0.0000 0.0935  4 Pt 3.42-3.53, 6 Cd 3.63-3.79, 1 K 3.79
K: 0.7932 0.0000 0.6506  2 Pt 3.39, 8 Cd 3.55-3.77
Cd: 0.1500 0.5000 0.6277  1 Pt 2.68, 1 Cd 2.90
Cd: 0.4238 0.5000 0.1541  1 Pt 2.72, 1 Cd 2.98
Cd: 0.5000 0.5000 0.5000  4 Cd 2.90-3.11
Cd: 0.5762 0.5000 0.8459  1 Pt 2.72, 1 Cd 2.98
Cd: 0.8500 0.5000 0.3723  1 Pt 2.68, 1 Cd 2.90
Pt: 0.0650 0.5000 0.1354  1 Pt 2.57, 2 Cd 2.68-2.72
Pt: 0.9350 0.5000 0.8646  1 Pt 2.57, 2 Cd 2.68-2.72

=====

(2)
A relaxed LiPr2Mg crystal. Source: Alexandria, functional PBE.

Results
Symmetry   P4/mmm, No. 123
Magnetization   0.000 μB/f.u.
Energy of formation from the pure elements   -0.0047 eV/atom
E above lowest polymorph   0 meV per atom

a = 3.9152 Å, b = 3.9152 Å, c = 7.6789 Å
α = 90.00°, β = 90.00°, γ = 90.00°
With the nearest neighbours (Å) after each atom.
Element x y z (fractional)
Li: 0.0000 0.0000 0.0000  8 Pr 3.37
Pr: 0.5000 0.5000 0.2502  4 Mg 3.37, 4 Li 3.37
Pr: 0.5000 0.5000 0.7498  4 Mg 3.37, 4 Li 3.37
Mg: 0.0000 0.0000 0.5000  8 Pr 3.37

=====

(3)
A relaxed LaCu2Tc crystal. Source: Alexandria, functional PBE.

Results
Symmetry   Pmmm, No. 47
Magnetization   0.000 μB/f.u.
Energy of formation from the pure elements   0.2752 eV/atom
E above lowest polymorph   173 meV per atom

a = 3.0344 Å, b = 3.7646 Å, c = 6.1927 Å
α = 90.00°, β = 90.00°, γ = 90.00°
With the nearest neighbours (Å) after each atom.
Element x y z (fractional)
La: 0.0000 0.0000 0.0000  2 La 3.03, 8 Cu 3.08, 2 Tc 3.10
Cu: 0.5000 0.5000 0.3081  1 Cu 2.38
Cu: 0.5000 0.5000 0.6919  1 Cu 2.38
Tc: 0.0000 0.0000 0.5000  8 Cu 2.69

=====

Theoretical density values, unit g cm⁻³, following the record order: 5.2, 4.4, 8.5.